# 1
The following is a GGA-PBE calculation of a relaxed ScBi3Sb crystal, from Alexandria via LeMat-Bulk.

Values from the calculation:
DOS at the Fermi energy	5.07	states/eV per cell
final energy	-4.094	eV per atom
E_form (uncorrected)	0.3257	eV/atom
relative energy among the computed polymorphs	0.000	eV per atom

Cell: 5.590 5.590 5.590 Å, 90.00 90.00 90.00°
Positions (direct):
1 Sc 0.000 0.000 0.000
2 Sb 0.500 0.500 0.500
3 Bi 0.000 0.500 0.000
4 Bi 0.000 0.000 0.500
5 Bi 0.500 0.000 0.000

---

# 2
The following is a GGA-PBE calculation of a relaxed Sc5Bi4Sb crystal, from Alexandria via LeMat-Bulk.

Values from the calculation:
DOS at the Fermi energy	1.90	states/eV per cell
final energy	-5.849	eV per atom
E_form (uncorrected)	-0.7190	eV/atom

Cell: 4.241 6.001 11.238 Å, 105.49 100.88 90.00°
Positions (direct):
1 Sc 0.597 0.097 0.193
2 Sc 0.799 0.299 0.598
3 Sc 0.201 0.701 0.402
4 Sc 0.000 0.500 0.000
5 Sc 0.403 0.903 0.807
6 Bi 0.400 0.400 0.800
7 Bi 0.802 0.802 0.603
8 Bi 0.198 0.198 0.397
9 Bi 0.600 0.600 0.200
10 Sb 0.000 0.000 0.000